The following is a DFT calculation (PBE-GGA) of a relaxed structure of AlSBrN2.

## Properties
Symmetry   P4/mmm, No. 123
Excess energy over the best structure of this formula in the dataset   897.5 meV/atom
Raw formation energy   1844 meV per atom

abc: 3.7445 3.7445 6.9951
angles: 90.00 90.00 90.00
With the nearest neighbours (Å) after each atom.
Atoms (fractional coordinates):
Al 0.5000 0.5000 0.5000  4 S 2.65
Br 0.0000 0.0000 0.0000  4 N 1.87
N 0.0000 0.5000 0.0000  2 Br 1.87
N 0.5000 0.0000 0.0000  2 Br 1.87
S 0.0000 0.0000 0.5000  4 Al 2.65

The following is a DFT calculation (PBE-GGA) of a relaxed structure of HfPd3Au.

## Properties
Symmetry   P2_1/m, No. 11
DFT formation energy   -0.335 eV/atom
Excess energy over the best structure of this formula in the dataset   0.0 meV/atom

abc: 2.9929 9.1794 8.9715
angles: 134.86 90.00 90.00
With the nearest neighbours (Å) after each atom.
Atoms (fractional coordinates):
Pd 0.7500 0.9527 0.7381  3 Hf 2.68-2.81, 7 Pd 2.86-2.99
Pd 0.7500 0.1798 0.6292  4 Pd 2.65-2.86, 2 Au 2.84
Pd 0.2500 0.0473 0.2619  3 Hf 2.68-2.81, 7 Pd 2.86-2.99
Pd 0.2500 0.8202 0.3708  4 Pd 2.65-2.86, 2 Au 2.84
Pd 0.2500 0.5763 0.4310  5 Pd 2.65-2.89, 3 Hf 2.72-2.73, 1 Au 2.88
Pd 0.7500 0.4237 0.5690  5 Pd 2.65-2.89, 3 Hf 2.72-2.73, 1 Au 2.88
Au 0.7500 0.6443 0.0069  6 Pd 2.84-3.05, 2 Hf 2.89, 4 Au 2.97-2.99
Au 0.2500 0.3557 0.9931  6 Pd 2.84-3.05, 2 Hf 2.89, 4 Au 2.97-2.99
Hf 0.2500 0.7738 0.8409  6 Pd 2.68-2.81, 2 Au 2.89, 2 Hf 2.99
Hf 0.7500 0.2262 0.1591  6 Pd 2.68-2.81, 2 Au 2.89, 2 Hf 2.99

The following is a DFT calculation (PBE-GGA) of a relaxed structure of Pu2AlTc3.

## Properties
Symmetry   C2/m, No. 12
DFT formation energy   -0.116 eV/atom

abc: 5.2804 5.2804 5.4314
angles: 90.93 119.95 118.02
With the nearest neighbours (Å) after each atom.
Atoms (fractional coordinates):
Tc 0.0000 0.0000 0.5000  4 Tc 2.64-2.72, 2 Al 2.72
Tc 0.5000 0.5000 0.5000  4 Tc 2.64-2.72, 2 Al 2.72
Tc 0.5000 0.0000 0.5000  4 Tc 2.64, 2 Al 2.68
Pu 0.2467 0.6183 0.8650  9 Tc 3.08-3.22, 3 Al 3.11-3.15, 4 Pu 3.19-3.36
Pu 0.7533 0.3817 0.1350  9 Tc 3.08-3.22, 3 Al 3.11-3.15, 4 Pu 3.19-3.36
Al 0.0000 0.0000 0.0000  6 Tc 2.68-2.72

The following is a DFT calculation (PBE-GGA) of a relaxed structure of AcTbPr2P4.

## Properties
Symmetry   P2/m, No. 10
DFT formation energy   -1.487 eV/atom

abc: 4.2286 7.3191 7.3215
angles: 70.64 90.00 90.00
With the nearest neighbours (Å) after each atom.
Atoms (fractional coordinates):
P 0.0000 0.2456 0.2618  1 Tb 2.94, 3 Pr 2.94-3.03, 2 Ac 3.04
P 0.5000 0.7470 0.2605  3 Pr 2.94-3.03, 2 Tb 2.95, 1 Ac 3.03
P 0.5000 0.2530 0.7395  3 Pr 2.94-3.03, 2 Tb 2.95, 1 Ac 3.03
P 0.0000 0.7544 0.7382  1 Tb 2.94, 3 Pr 2.94-3.03, 2 Ac 3.04
Pr 0.0000 0.0000 0.0000  6 P 3.03
Pr 0.5000 0.0000 0.5000  6 P 2.94
Ac 0.5000 0.5000 0.0000  6 P 3.03-3.04
Tb 0.0000 0.5000 0.5000  6 P 2.94-2.95

The following is a DFT calculation (PBE-GGA) of a relaxed structure of Sr4MnIr.

## Properties
Symmetry   F-43m, No. 216
DFT formation energy   1.166 eV/atom

abc: 6.5759 6.5759 6.5759
angles: 60.00 60.00 60.00
With the nearest neighbours (Å) after each atom.
Atoms (fractional coordinates):
Ir 0.7500 0.7500 0.7500  12 Sr 3.85, 4 Mn 4.03
Mn 0.0000 0.0000 0.0000  12 Sr 3.86, 4 Ir 4.03
Sr 0.8714 0.3762 0.3762  6 Sr 3.26-3.32
Sr 0.3762 0.8714 0.3762  6 Sr 3.26-3.32
Sr 0.3762 0.3762 0.8714  6 Sr 3.26-3.32
Sr 0.3762 0.3762 0.3762  6 Sr 3.26-3.32

The following is a DFT calculation (PBE-GGA) of a relaxed structure of Li2YBr.

## Properties
Symmetry   Cmmm, No. 65
Excess energy over the best structure of this formula in the dataset   75.0 meV/atom
Raw formation energy   -459 meV per atom

abc: 3.5596 5.6788 5.6843
angles: 60.05 90.00 90.00
With the nearest neighbours (Å) after each atom.
Atoms (fractional coordinates):
Y 0.5000 0.2500 0.2500  2 Br 2.84
Li 0.0000 0.5559 0.5550  2 Br 2.61
Li 0.0000 0.9441 0.9450  2 Br 2.61
Br 0.5000 0.7500 0.7500  4 Li 2.61, 2 Y 2.84

The following is a DFT calculation (PBE-GGA) of a relaxed structure of MgScIn2.

## Properties
Symmetry   P4/mmm, No. 123
DFT formation energy   -0.344 eV/atom

abc: 4.5048 4.3646 4.5061
angles: 90.00 90.00 90.00
With the nearest neighbours (Å) after each atom.
Atoms (fractional coordinates):
In 0.5000 0.1250 0.3754  4 Sc 3.14, 4 Mg 3.14, 4 In 3.19
In 0.0000 0.1250 0.8753  4 Mg 3.13-3.14, 4 Sc 3.14, 4 In 3.19
Sc 0.5000 0.6250 0.8751  8 In 3.14, 4 Mg 3.18-3.19
Mg 0.0000 0.6250 0.3742  8 In 3.13-3.14, 4 Sc 3.18-3.19

The following is a DFT calculation (PBE-GGA) of a relaxed structure of MgCo2Te.

## Properties
Symmetry   Pm, No. 6
Excess energy over the best structure of this formula in the dataset   52.5 meV/atom
Raw formation energy   127 meV per atom

abc: 3.8958 3.7694 4.8850
angles: 67.78 90.00 90.00
With the nearest neighbours (Å) after each atom.
Atoms (fractional coordinates):
Mg 0.0000 0.4842 0.4118  7 Co 2.64-2.80
Co 0.5000 0.0568 0.2598  2 Co 2.28
Co 0.0000 0.1904 0.9966  2 Co 2.28
Te 0.5000 0.7686 0.8318  7 Co 2.59-2.82

The following is a DFT calculation (PBE-GGA) of a relaxed structure of BeTePb2.

## Properties
Symmetry   I-4m2, No. 119
Excess energy over the best structure of this formula in the dataset   331.2 meV/atom
Raw formation energy   485 meV per atom

abc: 6.4939 6.4939 6.4939
angles: 139.93 139.93 57.96
With the nearest neighbours (Å) after each atom.
Atoms (fractional coordinates):
Be 0.7500 0.2500 0.5000  4 Pb 3.15
Pb 0.0000 0.0000 0.0000  4 Te 3.15
Pb 0.2500 0.7500 0.5000  4 Be 3.15
Te 0.5000 0.5000 0.0000  4 Pb 3.15

The following is a DFT calculation (PBE-GGA) of a relaxed structure of SrSiMo3.

## Properties
Symmetry   Pm-3m, No. 221
Excess energy over the best structure of this formula in the dataset   2202.2 meV/atom
Raw formation energy   3186 meV per atom

abc: 4.7723 4.7723 4.7723
angles: 90.00 90.00 90.00
With the nearest neighbours (Å) after each atom.
Atoms (fractional coordinates):
Mo 0.0000 0.0000 0.5000  2 Sr 2.39
Mo 0.5000 0.0000 0.0000  2 Sr 2.39
Mo 0.0000 0.5000 0.0000  2 Sr 2.39
Sr 0.0000 0.0000 0.0000  6 Mo 2.39
Si 0.5000 0.5000 0.5000  12 Mo 3.37

The following is a DFT calculation (PBE-GGA) of a relaxed structure of TbHS2.

## Properties
Symmetry   R-3m, No. 166
Excess energy over the best structure of this formula in the dataset   45.6 meV/atom

abc: 4.1150 4.1150 6.5424
angles: 71.67 71.67 60.00
With the nearest neighbours (Å) after each atom.
Atoms (fractional coordinates):
S 0.0891 0.0891 0.7326  1 H 1.63
S 0.9109 0.9109 0.2674  1 H 1.63
H 0.0000 0.0000 0.0000  2 S 1.63
Tb 0.5000 0.5000 0.5000  6 S 2.77

The following is a DFT calculation (PBE-GGA) of a relaxed structure of Tb2Ni9Sn.

## Properties
Symmetry   R-3m, No. 166
DFT formation energy   -0.247 eV/atom

abc: 4.9125 4.9125 8.6372
angles: 73.48 73.48 60.00
With the nearest neighbours (Å) after each atom.
Atoms (fractional coordinates):
Tb 0.8636 0.8636 0.4091  9 Ni 2.79-2.93
Tb 0.1364 0.1364 0.5909  9 Ni 2.79-2.93
Ni 0.9184 0.4170 0.2477  7 Ni 2.45-2.50
Ni 0.5830 0.0816 0.7523  7 Ni 2.45-2.50
Ni 0.3331 0.3331 0.0007  6 Ni 2.46-2.48
Ni 0.0816 0.5830 0.7523  7 Ni 2.45-2.50
Ni 0.4170 0.4170 0.2477  7 Ni 2.45-2.50
Ni 0.5830 0.5830 0.7523  7 Ni 2.45-2.50
Ni 0.6669 0.6669 0.9993  6 Ni 2.46-2.48
Ni 0.5000 0.5000 0.5000  6 Ni 2.50
Ni 0.4170 0.9184 0.2477  7 Ni 2.45-2.50
Sn 0.0000 0.0000 0.0000  6 Ni 2.84

The following is a DFT calculation (PBE-GGA) of a relaxed structure of LiPuNb2N4.

## Properties
Symmetry   P2/m, No. 10
Raw formation energy   -1089 meV per atom

abc: 3.1960 5.3775 5.6484
angles: 107.84 90.00 90.00
With the nearest neighbours (Å) after each atom.
Atoms (fractional coordinates):
N 0.5000 0.7371 0.7368  3 Nb 2.22, 1 Li 2.24, 2 Pu 2.34
N 0.0000 0.7620 0.2723  3 Nb 2.18-2.20, 1 Pu 2.28, 2 Li 2.36
N 0.5000 0.2629 0.2632  3 Nb 2.22, 1 Li 2.24, 2 Pu 2.34
N 0.0000 0.2380 0.7277  3 Nb 2.18-2.20, 1 Pu 2.28, 2 Li 2.36
Nb 0.0000 0.5000 0.5000  6 N 2.18-2.22
Nb 0.5000 0.0000 0.5000  6 N 2.20-2.22
Li 0.5000 0.5000 0.0000  6 N 2.24-2.36
Pu 0.0000 0.0000 0.0000  6 N 2.28-2.34

The following is a DFT calculation (PBE-GGA) of a relaxed structure of Li8Ca3Mg.

## Properties
Symmetry   R3m, No. 160
DFT formation energy   -0.012 eV/atom
Excess energy over the best structure of this formula in the dataset   0.0 meV/atom

abc: 5.9966 5.9966 10.3944
angles: 73.23 73.23 60.00
With the nearest neighbours (Å) after each atom.
Atoms (fractional coordinates):
Mg 0.1256 0.1256 0.6233  12 Li 3.42-3.51, 4 Ca 3.49-3.62
Li 0.3139 0.3139 0.0582  6 Li 3.03-3.10
Li 0.0609 0.5569 0.3212  6 Li 2.97-3.10
Li 0.5569 0.0609 0.3212  6 Li 2.97-3.10
Li 0.5664 0.0622 0.8050  6 Li 2.90-3.03
Li 0.0622 0.5664 0.8050  6 Li 2.90-3.03
Li 0.5664 0.5664 0.8050  6 Li 2.90-3.03
Li 0.0609 0.0609 0.3212  6 Li 2.97-3.10
Li 0.8110 0.8110 0.5670  6 Li 2.90-2.97
Ca 0.4948 0.4948 0.5157  12 Li 3.33-3.55, 3 Mg 3.62
Ca 0.0070 0.0070 0.9791  12 Li 3.45-3.78, 1 Mg 3.49, 3 Ca 3.76
Ca 0.6240 0.6240 0.1279  12 Li 3.53-3.60, 4 Ca 3.76-3.80

The following is a DFT calculation (PBE-GGA) of a relaxed structure of Tl3MoAu.

## Properties
Symmetry   Pm-3m, No. 221
DFT formation energy   1.064 eV/atom
Excess energy over the best structure of this formula in the dataset   237.9 meV/atom

abc: 5.5054 5.5054 5.5054
angles: 90.00 90.00 90.00
With the nearest neighbours (Å) after each atom.
Atoms (fractional coordinates):
Tl 0.5000 0.0000 0.0000  2 Au 2.75
Tl 0.0000 0.5000 0.0000  2 Au 2.75
Tl 0.0000 0.0000 0.5000  2 Au 2.75
Au 0.0000 0.0000 0.0000  6 Tl 2.75
Mo 0.5000 0.5000 0.5000  12 Tl 3.89

The following is a DFT calculation (PBE-GGA) of a relaxed structure of La2TbEr2.

## Properties
Symmetry   Fmmm, No. 69
DFT formation energy   0.504 eV/atom
Excess energy over the best structure of this formula in the dataset   425.6 meV/atom

abc: 10.6105 10.6104 8.1301
angles: 130.40 130.40 90.39
With the nearest neighbours (Å) after each atom.
Atoms (fractional coordinates):
Er 0.3100 0.8100 0.0000  3 La 3.00-3.29
Er 0.1902 0.3097 0.9999  3 La 3.00-3.30
Er 0.8098 0.6903 0.0001  3 La 3.00-3.30
Er 0.6900 0.1900 0.0000  3 La 3.00-3.29
Tb 0.7500 0.7500 0.5000  2 Tb 3.19
Tb 0.2500 0.2500 0.5000  2 Tb 3.19
La 0.1092 0.6092 0.0000  3 Er 3.00-3.30, 1 La 3.26
La 0.3897 0.1104 0.0001  3 Er 3.00-3.29, 1 La 3.32
La 0.8908 0.3908 0.0000  3 Er 3.00-3.30, 1 La 3.26
La 0.6103 0.8896 0.9999  3 Er 3.00-3.29, 1 La 3.32

The following is a DFT calculation (PBE-GGA) of a relaxed structure of GaFeBi2.

## Properties
Symmetry   R-3m, No. 166
DFT formation energy   0.619 eV/atom
Excess energy over the best structure of this formula in the dataset   112.1 meV/atom

abc: 3.3170 3.3170 11.2172
angles: 81.50 81.50 60.00
With the nearest neighbours (Å) after each atom.
Atoms (fractional coordinates):
Ga 0.5000 0.5000 0.5000  6 Ga 3.32, 6 Bi 3.38
Fe 0.0000 0.0000 0.0000  2 Bi 2.74
Bi 0.9175 0.9175 0.2476  1 Fe 2.74
Bi 0.0825 0.0825 0.7524  1 Fe 2.74

The following is a DFT calculation (PBE-GGA) of a relaxed structure of Pr3Sm4Dy.

## Properties
Symmetry   Pmn2_1, No. 31
DFT formation energy   0.032 eV/atom
Excess energy over the best structure of this formula in the dataset   0.0 meV/atom

abc: 6.3835 7.3865 11.7856
angles: 90.00 90.00 90.00
With the nearest neighbours (Å) after each atom.
Atoms (fractional coordinates):
Sm 0.9807 0.1240 0.7522  1 Dy 3.61, 6 Sm 3.61-3.68, 5 Pr 3.66-3.70
Sm 0.4807 0.8760 0.7478  1 Dy 3.61, 6 Sm 3.61-3.68, 5 Pr 3.66-3.70
Sm 0.1477 0.8764 0.5000  6 Sm 3.61-3.69, 4 Pr 3.64-3.71, 2 Dy 3.68-3.69
Sm 0.6477 0.1236 0.0000  6 Sm 3.61-3.69, 4 Pr 3.64-3.71, 2 Dy 3.68-3.69
Sm 0.6492 0.1242 0.5000  6 Sm 3.61-3.69, 4 Pr 3.64-3.69, 2 Dy 3.67-3.72
Sm 0.9807 0.1240 0.2478  1 Dy 3.61, 6 Sm 3.61-3.68, 5 Pr 3.66-3.70
Sm 0.4807 0.8760 0.2522  1 Dy 3.61, 6 Sm 3.61-3.68, 5 Pr 3.66-3.70
Sm 0.1492 0.8758 0.0000  6 Sm 3.61-3.69, 4 Pr 3.64-3.69, 2 Dy 3.67-3.72
Pr 0.1479 0.3736 0.5000  4 Pr 3.63-3.64, 6 Sm 3.66-3.71, 2 Dy 3.70-3.71
Pr 0.4811 0.3748 0.2501  4 Pr 3.63-3.69, 2 Dy 3.64, 6 Sm 3.64-3.70
Pr 0.4811 0.3748 0.7499  4 Pr 3.63-3.69, 2 Dy 3.64, 6 Sm 3.64-3.70
Pr 0.9811 0.6252 0.7501  4 Pr 3.63-3.69, 2 Dy 3.64, 6 Sm 3.64-3.70
Pr 0.9811 0.6252 0.2499  4 Pr 3.63-3.69, 2 Dy 3.64, 6 Sm 3.64-3.70
Pr 0.6479 0.6264 0.0000  4 Pr 3.63-3.64, 6 Sm 3.66-3.71, 2 Dy 3.70-3.71
Dy 0.6469 0.6274 0.5000  6 Sm 3.61-3.72, 6 Pr 3.64-3.71
Dy 0.1469 0.3726 0.0000  6 Sm 3.61-3.72, 6 Pr 3.64-3.71

The following is a DFT calculation (PBE-GGA) of a relaxed structure of Nb2ZnNi6.

## Properties
Symmetry   P-3m1, No. 164
DFT formation energy   -0.112 eV/atom

abc: 5.4204 4.9712 4.9712
angles: 120.00 90.00 90.00
With the nearest neighbours (Å) after each atom.
Atoms (fractional coordinates):
Nb 0.6446 0.3333 0.6667  9 Ni 2.68-2.90, 3 Zn 2.98
Nb 0.3554 0.6667 0.3333  9 Ni 2.68-2.90, 3 Zn 2.98
Ni 0.1722 0.6485 0.8242  1 Zn 2.33, 4 Ni 2.35-2.40
Ni 0.8278 0.8242 0.6485  1 Zn 2.33, 4 Ni 2.35-2.40
Ni 0.8278 0.3515 0.1758  1 Zn 2.33, 4 Ni 2.35-2.40
Ni 0.8278 0.8242 0.1758  1 Zn 2.33, 4 Ni 2.35-2.40
Ni 0.1722 0.1758 0.8242  1 Zn 2.33, 4 Ni 2.35-2.40
Ni 0.1722 0.1758 0.3515  1 Zn 2.33, 4 Ni 2.35-2.40
Zn 0.5000 0.0000 0.0000  6 Ni 2.33

The following is a DFT calculation (PBE-GGA) of a relaxed structure of Li2TlHgBi.

## Properties
Symmetry   P4/mmm, No. 123
DFT formation energy   -0.031 eV/atom

abc: 5.2344 5.2344 6.0662
angles: 90.00 90.00 90.00
With the nearest neighbours (Å) after each atom.
Atoms (fractional coordinates):
Bi 0.0000 0.0000 0.0000  4 Li 2.62
Li 0.5000 0.0000 0.0000  2 Bi 2.62
Li 0.0000 0.5000 0.0000  2 Bi 2.62
Tl 0.5000 0.5000 0.5000  4 Hg 3.70, 8 Li 4.01
Hg 0.0000 0.0000 0.5000  2 Bi 3.03